## NdTmCd14 (PBE-GGA)

Data for crystalline NdTmCd14 at its relaxed geometry.

```
NdTmCd14
1.0
6.631 -0.014 0.000
0.014 6.631 0.000
0.000 0.000 8.499
Nd Tm Cd
1 1 14
direct
0.875 0.875 0.500
0.375 0.375 0.500
0.875 0.875 0.000
0.375 0.375 0.000
0.875 0.375 0.500
0.875 0.375 0.000
0.375 0.875 0.500
0.375 0.875 0.000
0.621 0.129 0.241
0.621 0.129 0.759
0.129 0.621 0.241
0.129 0.621 0.759
0.621 0.621 0.241
0.621 0.621 0.759
0.129 0.129 0.241
0.129 0.129 0.759
```

- Energy of formation: -0.14 eV/atom
- SG: P4/mmm, No. 123
- Calculated volume: 373.7 Å³ per cell
- Total DFT energy (no corrections): -0.0556 hartree per atom
- Spin magnetization: 0.000 Bohr magnetons per cell


## Nd4TmCd (PBE-GGA)

Data for crystalline Nd4TmCd at its relaxed geometry.

```
Nd4TmCd
1.0
-2.891 2.279 -0.060
-1.793 -2.214 2.332
5.448 7.198 11.022
Nd Tm Cd
4 1 1
direct
0.500 0.500 0.173
0.000 0.000 0.648
0.000 0.000 0.352
0.500 0.500 0.827
0.000 0.000 0.000
0.500 0.500 0.500
```

- Energy of formation: -0.09 eV/atom
- SG: P4/mmm, No. 123
- Calculated volume: 193.1 Å³ per cell
- Total DFT energy (no corrections): -0.1532 hartree per atom
- Spin magnetization: 0.000 Bohr magnetons per cell


## NdTmCd17 (PBE-GGA)

Data for crystalline NdTmCd17 at its relaxed geometry.

```
NdTmCd17
1.0
-3.271 -0.858 -6.884
-0.364 -7.660 -0.068
-7.262 -0.751 2.349
Nd Tm Cd
1 1 17
direct
0.668 0.668 0.668
0.323 0.323 0.323
0.301 0.003 0.695
0.695 0.301 0.003
0.003 0.695 0.301
0.301 0.695 0.003
0.003 0.301 0.695
0.695 0.003 0.301
0.345 0.879 0.345
0.345 0.345 0.879
0.879 0.345 0.345
0.619 0.214 0.619
0.619 0.619 0.214
0.214 0.619 0.619
0.975 0.527 0.975
0.975 0.975 0.527
0.527 0.975 0.975
0.909 0.909 0.909
0.104 0.104 0.104
```

- Energy of formation: -0.12 eV/atom
- SG: R3m, No. 160
- Calculated volume: 438.9 Å³ per cell
- Total DFT energy (no corrections): -0.0522 hartree per atom
- Spin magnetization: 0.000 Bohr magnetons per cell


## Nd3TmCd (PBE-GGA)

Data for crystalline Nd3TmCd at its relaxed geometry.

```
Nd3TmCd
1.0
-1.229 1.461 3.146
-5.706 -2.260 -7.694
-1.577 -10.454 4.240
Nd Tm Cd
6 2 2
direct
0.071 0.710 0.489
0.929 0.290 0.511
0.071 0.710 0.011
0.929 0.290 0.989
0.393 0.597 0.750
0.607 0.403 0.250
0.435 0.964 0.750
0.565 0.036 0.250
0.399 0.271 0.750
0.601 0.729 0.250
```

- Energy of formation: 0.07 eV/atom
- SG: P2_1/m, No. 11
- Calculated volume: 340.2 Å³ per cell
- Total DFT energy (no corrections): -0.1423 hartree per atom
- Spin magnetization: 0.000 Bohr magnetons per cell


## Nd2Tm3Cd4 (PBE-GGA)

Data for crystalline Nd2Tm3Cd4 at its relaxed geometry.

```
Nd2Tm3Cd4
1.0
-5.964 -1.467 -2.921
-0.014 -7.310 3.699
-1.426 4.372 8.635
Nd Tm Cd
4 6 8
direct
0.093 0.601 0.186
0.907 0.399 0.814
0.407 0.101 0.814
0.593 0.899 0.186
0.000 0.000 0.000
0.500 0.500 0.000
0.504 0.750 0.508
0.996 0.250 0.492
0.496 0.250 0.492
0.004 0.750 0.508
0.675 0.750 0.851
0.825 0.250 0.149
0.325 0.250 0.149
0.175 0.750 0.851
0.164 0.987 0.327
0.836 0.013 0.673
0.336 0.487 0.673
0.664 0.513 0.327
```

- Energy of formation: -0.17 eV/atom
- SG: Cmce, No. 64
- Calculated volume: 511.1 Å³ per cell
- Total DFT energy (no corrections): -0.1149 hartree per atom
- Spin magnetization: 0.000 Bohr magnetons per cell


## Nd4TmCd (PBE-GGA)

Data for crystalline Nd4TmCd at its relaxed geometry.

```
Nd4TmCd
1.0
-6.050 -1.893 -0.873
5.693 -4.053 -5.811
1.181 -2.420 8.086
Nd Tm Cd
8 2 2
direct
0.046 0.171 0.767
0.757 0.710 0.617
0.221 0.596 0.767
0.359 0.906 0.617
0.641 0.094 0.383
0.779 0.404 0.233
0.243 0.290 0.383
0.954 0.829 0.233
0.339 0.589 0.178
0.661 0.411 0.822
0.251 0.001 0.002
0.749 0.999 0.998
```

- Energy of formation: 0.00 eV/atom
- SG: C2/c, No. 15
- Calculated volume: 391.3 Å³ per cell
- Total DFT energy (no corrections): -0.1497 hartree per atom
- Spin magnetization: 0.000 Bohr magnetons per cell